(1)
First-principles (PBE) data for an optimized crystal structure of BeBiOs2, as listed in OQMD.

The crystal system is trigonal.

The structure belongs to space group P3m1 (No. 156); the cell edges are 4.0158, 4.0158 and 5.0499 Å and the angles 90.00°, 90.00° and 120.00°. The distinct sites, in fractional coordinates, are Be at (0.0000, 0.0000, 0.0000), Bi at (0.6667, 0.3333, 0.7814), Os at (0.0000, 0.0000, 0.4422) and Os at (0.3333, 0.6667, 0.2724).

=====

(2)
First-principles (PBE) data for an optimized crystal structure of BeBiOs, as listed in OQMD.

The crystal system is cubic.

The structure belongs to space group F-43m (No. 216); the cell edges are 5.9001, 5.9001 and 5.9001 Å and the angles 90.00°, 90.00° and 90.00°. The distinct sites, in fractional coordinates, are Be at (0.0000, 0.0000, 0.0000), Bi at (0.2500, 0.2500, 0.7500) and Os at (0.2500, 0.2500, 0.2500).

=====

(3)
First-principles (PBE) data for an optimized crystal structure of BeBiOs2, as listed in OQMD.

The crystal system is cubic.

The structure belongs to space group F-43m (No. 216); the cell edges are 6.3671, 6.3671 and 6.3671 Å and the angles 90.00°, 90.00° and 90.00°. The distinct sites, in fractional coordinates, are Be at (0.0000, 0.0000, 0.0000), Bi at (0.2500, 0.2500, 0.7500), Os at (0.0000, 0.0000, 0.5000) and Os at (0.2500, 0.2500, 0.2500).

=====

The calculation returns the following final energy values, one per record and in order: -6.89 -5.56 -6.60 eV/atom.